[1]
Density functional theory data (PBE-GGA) for crystalline BaTaP2O at its relaxed geometry.

Its calculated volume is 124.78 Å³ per cell. Its formation energy from raw total energies is 1.38 eV per atom. The total energy comes out at -22.7 eV per cell. The density of states at the Fermi level is 0.91 states/eV/atom.

Cell: 5.4618 5.4618 4.1827 Å, 90.00 90.00 90.00°
Space group P4/mmm (No. 123)
Unique sites:
Ba (0.0000, 0.0000, 0.0000) x1
Ta (0.5000, 0.5000, 0.5000) x1
P (0.0000, 0.5000, 0.0000) x2
O (0.0000, 0.0000, 0.5000) x1

=====

[2]
Density functional theory data (PBE-GGA) for crystalline ScRh2Se at its relaxed geometry.

Its calculated volume is 218.30 Å³ per cell. Its formation energy from raw total energies is -0.37 eV per atom. The total energy comes out at -78.0 eV per cell. The density of states at the Fermi level is 1.09 states/eV/atom.

Cell: 3.8039 3.8039 17.4210 Å, 90.00 90.00 120.00°
Space group R3m (No. 160, hexagonal axes)
Unique sites:
Sc (0.0000, 0.0000, 0.0000) x3
Rh (0.0000, 0.0000, 0.4980) x3
Rh (0.0000, 0.0000, 0.7541) x3
Se (0.0000, 0.0000, 0.2322) x3